# 1
DFT (PBE-GGA) results for an optimized crystal structure of CeCrGa2.

Summary:
VASP energy, eV/atom: -5.375

POSCAR file:
```
CeCrGa2
1.0
1.5194 0.8772 9.2772
-1.5194 0.8772 9.2772
0.0000 -1.7544 9.2772
Ce Cr Ga
1 1 2
Cartesian
0.0000 0.0000 0.0000
0.0000 0.0000 13.9158
0.0000 0.0000 6.6200
0.0000 0.0000 21.2116
```

=====

# 2
DFT (PBE-GGA) results for an optimized crystal structure of LaTb2Dy2Y.

Summary:
VASP energy, eV/atom: -4.705

POSCAR file:
```
LaTb2Dy2Y
1.0
6.5922 0.0000 0.0000
0.0000 17.9121 0.0000
0.0000 0.0000 3.4050
La Tb Dy Y
2 4 4 2
Cartesian
0.0000 0.0000 0.0000
3.2961 8.9561 1.7025
1.4728 3.3320 0.0000
1.8233 12.2881 1.7025
4.7689 5.6241 1.7025
5.1194 14.5801 0.0000
1.4509 6.2906 1.7025
1.8451 15.2467 0.0000
4.7470 2.6655 0.0000
5.1412 11.6215 1.7025
0.0000 8.9561 0.0000
3.2961 0.0000 1.7025
```

=====

# 3
DFT (PBE-GGA) results for an optimized crystal structure of HfTi2PtC.

Summary:
VASP energy, eV/atom: -8.964

POSCAR file:
```
HfTi2PtC
1.0
4.1581 0.0000 0.0000
0.0000 4.1581 0.0000
0.0000 0.0000 4.4323
Hf Ti Pt C
1 2 1 1
Cartesian
0.0000 0.0000 0.0000
0.0000 2.0791 2.2161
2.0791 0.0000 2.2161
2.0791 2.0791 0.0000
0.0000 0.0000 2.2161
```

=====

# 4
DFT (PBE-GGA) results for an optimized crystal structure of LaTa2Cd2.

Summary:
VASP energy, eV/atom: -5.759

POSCAR file:
```
LaTa2Cd2
1.0
-2.0277 2.0277 7.2245
2.0277 -2.0277 7.2245
2.0277 2.0277 -7.2245
La Ta Cd
1 2 2
Cartesian
0.0000 0.0000 0.0000
2.0277 0.0000 3.6123
0.0000 2.0277 3.6123
0.0000 0.0000 5.7384
0.0000 0.0000 8.7107
```

=====

no.,density of states at the Fermi level (states/eV/cell)
1,6.0
2,21.0
3,4.9
4,6.7